Density functional theory data (PBE-GGA) for a geometry-optimized Dy4Cu2Bi structure.

Cell: 8.0201 8.0201 8.0106 Å, 108.13 108.12 112.24°
Fractional positions:
Cu  0.6249  0.3750  0.7499
Cu  0.1250  0.3752  0.7502
Cu  0.6251  0.8750  0.2501
Cu  0.6250  0.3748  0.2498
Bi  0.2500  0.7500  0.5000
Bi  0.0000  0.0000  0.0000
Dy  0.9163  0.5933  0.6773
Dy  0.4890  0.6659  0.8226
Dy  0.4066  0.0835  0.3225
Dy  0.7610  0.0842  0.6775
Dy  0.9160  0.2390  0.3227
Dy  0.8434  0.6664  0.1774
Dy  0.3334  0.1567  0.8224
Dy  0.3343  0.5110  0.1776

Calculated values
Crystal system: orthorhombic
Total magnetic moment: 0.00 μB/f.u.
Formation energy: -19.7 kJ/mol of atoms


Density functional theory data (PBE-GGA) for a geometry-optimized DyCuBi structure.

Cell: 4.6888 4.6888 4.6888 Å, 60.00 60.00 60.00°
Fractional positions:
Cu  0.2500  0.2500  0.2500
Bi  0.0000  0.0000  0.0000
Dy  0.5000  0.5000  0.5000

Calculated values
Crystal system: cubic
Total magnetic moment: 0.00 μB/f.u.
Formation energy: -37.0 kJ/mol of atoms


Density functional theory data (PBE-GGA) for a geometry-optimized DyCuBi structure.

Cell: 3.3901 3.3888 13.1303 Å, 90.08 90.87 90.00°
Fractional positions:
Bi  0.2486  0.5727  0.3540
Bi  0.7972  0.0774  0.0790
Cu  0.7784  0.0766  0.7601
Cu  0.2676  0.5750  0.6733
Dy  0.2864  0.5768  0.8950
Dy  0.7597  0.0738  0.5382

Calculated values
Crystal system: triclinic
Total magnetic moment: 0.00 μB/f.u.
Formation energy: -24.9 kJ/mol of atoms


Density functional theory data (PBE-GGA) for a geometry-optimized DyCuBi structure.

Cell: 4.2527 4.4210 4.4210 Å, 120.00 90.00 90.00°
Fractional positions:
Dy  0.6248  0.3333  0.6667
Bi  0.1010  0.0000  0.0000
Cu  0.2742  0.6667  0.3333

Calculated values
Crystal system: trigonal
Total magnetic moment: 0.00 μB/f.u.
Formation energy: -39.5 kJ/mol of atoms


- The highest formation energy belongs to which entry?
  Dy4Cu2Bi